Record 1
DFT (PBE with a Hubbard U) results for a geometry-optimized MnCd2BiO6 structure.

abc: 5.5641 5.6788 8.0215
angles: 90.00 89.45 90.00
Positions (direct):
Bi 0.5000 0.0000 0.5000
Bi 0.0000 0.5000 0.0000
O 0.1786 0.2141 0.4354
O 0.6161 0.0539 0.2331
O 0.2865 0.6855 0.4387
O 0.6786 0.2859 0.9354
O 0.1161 0.4461 0.7331
O 0.7865 0.8145 0.9387
O 0.3214 0.7141 0.0646
O 0.3839 0.9461 0.7669
O 0.8839 0.5539 0.2669
O 0.7135 0.3145 0.5613
O 0.2135 0.1855 0.0613
O 0.8214 0.7859 0.5646
Cd 0.4862 0.4521 0.2489
Cd 0.9862 0.0479 0.7489
Cd 0.0138 0.9521 0.2511
Cd 0.5138 0.5479 0.7511
Mn 0.0000 0.5000 0.5000
Mn 0.5000 0.0000 0.0000

Computed properties:
For the final energy, the calculation gives -53.7 eV per formula unit. As for the symmetry: No. 14.

=====

Record 2
DFT (PBE with a Hubbard U) results for a geometry-optimized MnCdBiO4 structure.

abc: 6.6249 6.6199 6.8560
angles: 121.19 90.00 120.03
Positions (direct):
O 0.2245 0.9302 0.7151
O 0.2469 0.4937 0.2825
O 0.7531 0.5063 0.2888
O 0.2944 0.0698 0.2849
O 0.2469 0.4937 0.7112
O 0.7056 0.9302 0.7151
O 0.7531 0.5063 0.7175
O 0.7755 0.0698 0.2849
Mn 0.0000 0.5000 0.5000
Mn 0.5000 0.5000 0.5000
Cd 0.8767 0.7535 0.1267
Cd 0.1233 0.2465 0.8733
Bi 0.5000 0.0000 0.5000
Bi 0.5000 0.0000 0.0000

Computed properties:
For the final energy, the calculation gives -40.5 eV per formula unit. As for the symmetry: No. 74.

=====

Listing N(E_F) for the structures above in their given order: 4.404 6.404 states/eV per cell.